(1)
## CaMgInSn (PBE-GGA)

Data for a geometry-optimized CaMgInSn structure.

Properties
Energy of formation from the pure elements: -0.366 eV per atom

a = 4.448 Å, b = 4.753 Å, c = 4.846 Å
α = 90.00°, β = 90.00°, γ = 90.00°
Positions (direct):
Ca 0.500 0.000 0.500
Mg 0.500 0.500 0.000
In 0.000 0.000 0.000
Sn 0.000 0.500 0.500

(2)
## NiAgSe2 (PBE-GGA)

Data for a geometry-optimized NiAgSe2 structure.

Properties
E above lowest polymorph: 40 kJ/mol of formula units

a = 7.031 Å, b = 7.031 Å, c = 7.031 Å
α = 32.57°, β = 32.57°, γ = 32.57°
Positions (direct):
Ni 0.997 0.997 0.997
Se 0.111 0.111 0.111
Se 0.636 0.636 0.636
Ag 0.507 0.507 0.507

(3)
## Pr2SbN (PBE-GGA)

Data for a geometry-optimized Pr2SbN structure.

Properties
E above lowest polymorph: 0 kJ/mol of formula units

a = 4.744 Å, b = 4.744 Å, c = 9.359 Å
α = 90.01°, β = 90.01°, γ = 90.00°
Positions (direct):
Pr 0.750 0.750 0.830
Pr 0.750 0.250 0.500
Pr 0.250 0.250 0.170
Pr 0.250 0.750 0.500
Sb 0.250 0.250 0.804
Sb 0.750 0.750 0.196
N 0.250 0.250 0.415
N 0.750 0.750 0.585

(4)
## Tb2PmIn9 (PBE-GGA)

Data for a geometry-optimized Tb2PmIn9 structure.

Properties
Energy of formation from the pure elements: -0.442 eV per atom

a = 4.664 Å, b = 4.664 Å, c = 13.988 Å
α = 90.00°, β = 90.00°, γ = 90.00°
Positions (direct):
Tb 0.000 0.000 0.334
Tb 0.000 0.000 0.666
Pm 0.000 0.000 0.000
In 0.500 0.500 0.000
In 0.500 0.500 0.334
In 0.500 0.500 0.666
In 0.500 0.000 0.169
In 0.500 0.000 0.500
In 0.500 0.000 0.831
In 0.000 0.500 0.169
In 0.000 0.500 0.500
In 0.000 0.500 0.831

(5)
## Nd5Ho4Sc2 (PBE-GGA)

Data for a geometry-optimized Nd5Ho4Sc2 structure.

Properties
E above lowest polymorph: 0 kJ/mol of formula units
Energy of formation from the pure elements: 0.082 eV per atom

a = 3.522 Å, b = 8.839 Å, c = 11.344 Å
α = 86.09°, β = 90.00°, γ = 90.00°
Positions (direct):
Nd 0.000 0.433 0.308
Nd 0.000 0.818 0.160
Nd 0.000 0.500 0.000
Nd 0.000 0.182 0.840
Nd 0.000 0.567 0.692
Ho 0.500 0.259 0.558
Ho 0.500 0.832 0.876
Ho 0.500 0.741 0.442
Ho 0.500 0.168 0.124
Sc 0.000 0.939 0.631
Sc 0.000 0.061 0.369

(6)
## BaCe2MnN5 (PBE-GGA)

Data for a geometry-optimized BaCe2MnN5 structure.

Properties
Total DFT energy (no corrections): -8.15 eV per atom

a = 6.852 Å, b = 6.852 Å, c = 7.397 Å
α = 117.59°, β = 117.59°, γ = 90.00°
Positions (direct):
Ba 0.250 0.250 0.500
Ba 0.750 0.750 0.500
Ce 0.184 0.316 0.000
Ce 0.684 0.184 0.000
Ce 0.316 0.816 0.000
Ce 0.816 0.684 0.000
Mn 0.250 0.750 0.500
Mn 0.750 0.250 0.500
N 0.008 0.508 0.287
N 0.722 0.222 0.713
N 0.992 0.492 0.713
N 0.222 0.992 0.713
N 0.492 0.722 0.713
N 0.778 0.008 0.287
N 0.508 0.278 0.287
N 0.278 0.778 0.287
N 0.500 0.500 0.000
N 0.000 0.000 0.000

(7)
## Tb2PmPu (PBE-GGA)

Data for a geometry-optimized Tb2PmPu structure.

Properties
E above lowest polymorph: 2 kJ/mol of formula units
Energy of formation from the pure elements: 0.108 eV per atom

a = 3.562 Å, b = 3.562 Å, c = 11.675 Å
α = 81.23°, β = 81.23°, γ = 60.00°
Positions (direct):
Tb 0.081 0.081 0.757
Tb 0.252 0.252 0.243
Pm 0.500 0.500 0.499
Pu 0.666 0.666 0.001

(8)
## Ba2PAu2 (PBE-GGA)

Data for a geometry-optimized Ba2PAu2 structure.

Properties
E above lowest polymorph: 124 kJ/mol of formula units
Energy of formation from the pure elements: -0.526 eV per atom

a = 8.023 Å, b = 8.023 Å, c = 4.598 Å
α = 90.00°, β = 90.00°, γ = 90.00°
Positions (direct):
P 0.000 0.000 0.000
P 0.500 0.500 0.000
Au 0.377 0.877 0.000
Au 0.877 0.623 0.000
Au 0.623 0.123 0.000
Au 0.123 0.377 0.000
Ba 0.186 0.686 0.500
Ba 0.686 0.814 0.500
Ba 0.814 0.314 0.500
Ba 0.314 0.186 0.500